Entry from Alexandria via LeMat-Bulk: a relaxed structure of AcPr8Nd4 (PBE).

Output
The total energy is -56.4 eV per cell. The value obtained for the formation energy from the elements is 0.39 eV per atom.

Cell lengths 8.018, 8.018, 8.018 Å; angles 96.69, 96.69, 96.69 degrees
Fractional positions:
Ac: 0.000 0.000 0.000
Pr: 0.169 0.664 0.664
Pr: 0.266 0.266 0.266
Pr: 0.336 0.336 0.831
Pr: 0.336 0.831 0.336
Pr: 0.664 0.169 0.664
Pr: 0.664 0.664 0.169
Pr: 0.734 0.734 0.734
Pr: 0.831 0.336 0.336
Nd: 0.000 0.000 0.500
Nd: 0.000 0.500 0.000
Nd: 0.500 0.000 0.000
Nd: 0.500 0.500 0.500